No. 1
Below is an optimized crystal structure of CoSnPb2, with properties calculated at the GGA-PBE level.

a b c (Å): 5.1424 5.1424 5.1424
angles (deg): 60.00 60.00 60.00
Closest atoms and distances in Å follow each position.
Sites, in units of the cell vectors:
Pb: 0.0000 0.0000 0.0000  4 Pb 3.15, 4 Co 3.15
Pb: 0.7500 0.7500 0.7500  4 Sn 3.15, 4 Pb 3.15
Co: 0.2500 0.2500 0.2500  4 Sn 3.15, 4 Pb 3.15
Sn: 0.5000 0.5000 0.5000  4 Pb 3.15, 4 Co 3.15

Total magnetization = 0.00 Bohr magnetons per cell
Energy = -0.149 hartree per atom

No. 2
Below is an optimized crystal structure of LuCuTcBi, with properties calculated at the GGA-PBE level.

a b c (Å): 4.7620 4.7620 4.7620
angles (deg): 60.00 60.00 60.00
Closest atoms and distances in Å follow each position.
Sites, in units of the cell vectors:
Lu: 0.5000 0.5000 0.5000  4 Tc 2.92, 4 Cu 2.92
Tc: 0.2500 0.2500 0.2500  4 Bi 2.92, 4 Lu 2.92
Bi: 0.0000 0.0000 0.0000  4 Tc 2.92, 4 Cu 2.92
Cu: 0.7500 0.7500 0.7500  4 Bi 2.92, 4 Lu 2.92

Total magnetization = 0.02 Bohr magnetons per cell
Excess energy over the best structure of this formula in the dataset = 0 meV per atom
Energy = -0.202 hartree per atom